A relaxed structure of Cl, computed with PBE.

a = 7.9230 Å, b = 10.8951 Å, c = 5.6072 Å
α = 90.00°, β = 90.00°, γ = 90.00°
Fractional coordinates of all 12 atoms:
Cl1 0.2500 0.0417 0.0370
Cl2 0.2500 0.2500 0.0844
Cl3 0.2500 0.4583 0.0370
Cl4 0.2500 0.5908 0.3457
Cl5 0.2500 0.7500 0.6196
Cl6 0.2500 0.9092 0.3457
Cl7 0.7500 0.0908 0.6543
Cl8 0.7500 0.2500 0.3804
Cl9 0.7500 0.4092 0.6543
Cl10 0.7500 0.5417 0.9630
Cl11 0.7500 0.7500 0.9156
Cl12 0.7500 0.9583 0.9630

Calculated values
ΔE to the lowest computed polymorph in eV/f.u.: 0.07



A relaxed structure of Y4GePbSe2, computed with PBE.

a = 7.3265 Å, b = 4.1689 Å, c = 7.3621 Å
α = 90.00°, β = 109.14°, γ = 90.00°
Fractional coordinates of all 8 atoms:
Y1 0.2422 0.0000 0.2369
Y2 0.2531 0.5000 0.7643
Y3 0.7469 0.5000 0.2357
Y4 0.7578 0.0000 0.7631
Ge1 0.0000 0.5000 0.0000
Pb1 0.0000 0.0000 0.5000
Se1 0.5000 0.0000 0.0000
Se2 0.5000 0.5000 0.5000



A relaxed structure of SBr3O, computed with PBE.

a = 5.0286 Å, b = 5.0286 Å, c = 5.0286 Å
α = 90.00°, β = 90.00°, γ = 90.00°
Fractional coordinates of all 5 atoms:
S1 0.0000 0.0000 0.0000
Br1 0.0000 0.0000 0.5000
Br2 0.0000 0.5000 0.0000
Br3 0.5000 0.0000 0.0000
O1 0.5000 0.5000 0.5000

Calculated values
ΔE to the lowest computed polymorph in eV/f.u.: 0.08



A relaxed structure of SmMgCuTe3, computed with PBE.

a = 8.5553 Å, b = 4.1897 Å, c = 9.4027 Å
α = 90.00°, β = 101.00°, γ = 90.00°
Fractional coordinates of all 12 atoms:
Sm1 0.1737 0.2500 0.2549
Sm2 0.8263 0.7500 0.7451
Mg1 0.3436 0.7500 0.8416
Mg2 0.6564 0.2500 0.1584
Cu1 0.0652 0.2500 0.5707
Cu2 0.9348 0.7500 0.4293
Te1 0.0971 0.2500 0.8606
Te2 0.2484 0.7500 0.5205
Te3 0.4112 0.7500 0.1541
Te4 0.5888 0.2500 0.8459
Te5 0.7516 0.2500 0.4795
Te6 0.9029 0.7500 0.1394



A relaxed structure of TiZnPd, computed with PBE.

a = 3.1814 Å, b = 3.1814 Å, c = 9.0669 Å
α = 90.00°, β = 90.00°, γ = 90.00°
Fractional coordinates of all 6 atoms:
Ti1 0.2500 0.2500 0.0939
Ti2 0.7500 0.7500 0.9061
Zn1 0.2500 0.2500 0.4230
Zn2 0.7500 0.7500 0.5770
Pd1 0.2500 0.2500 0.7411
Pd2 0.7500 0.7500 0.2589

Calculated values
ΔH_f (0 K) in eV/atom: -0.451



A relaxed structure of Sm3GaGe3, computed with PBE.

a = 9.7281 Å, b = 9.7281 Å, c = 9.7281 Å
α = 155.91°, β = 154.10°, γ = 35.67°
Fractional coordinates of all 7 atoms:
Sm1 0.0000 0.0000 0.0000
Sm2 0.1853 0.6853 0.5000
Sm3 0.3664 0.3664 0.0000
Ga1 0.6160 0.1160 0.5000
Ge1 0.5334 0.5334 0.0000
Ge2 0.7489 0.2489 0.5000
Ge3 0.8376 0.8376 0.0000

Calculated values
ΔH_f (0 K) in eV/atom: -0.774
ΔE to the lowest computed polymorph in eV/f.u.: 0.00



A relaxed structure of LiPu2UN4, computed with PBE.

a = 5.7480 Å, b = 3.4877 Å, c = 5.9422 Å
α = 90.00°, β = 108.19°, γ = 90.00°
Fractional coordinates of all 8 atoms:
Li1 0.0000 0.0000 0.0000
Pu1 0.0000 0.5000 0.5000
Pu2 0.5000 0.0000 0.5000
U1 0.5000 0.5000 0.0000
N1 0.2699 0.0000 0.7733
N2 0.2945 0.5000 0.2592
N3 0.7055 0.5000 0.7408
N4 0.7301 0.0000 0.2267



A relaxed structure of SrCuPCl2, computed with PBE.

a = 4.9329 Å, b = 4.9329 Å, c = 4.6589 Å
α = 90.00°, β = 90.00°, γ = 90.00°
Fractional coordinates of all 5 atoms:
Sr1 0.0000 0.0000 0.0000
Cu1 0.5000 0.5000 0.5000
P1 0.5000 0.5000 0.0000
Cl1 0.0000 0.5000 0.5000
Cl2 0.5000 0.0000 0.5000

Calculated values
ΔE to the lowest computed polymorph in eV/f.u.: 0.00



A relaxed structure of Y2GaF, computed with PBE.

a = 4.9585 Å, b = 4.9585 Å, c = 4.9585 Å
α = 60.00°, β = 60.00°, γ = 60.00°
Fractional coordinates of all 4 atoms:
Y1 0.2500 0.2500 0.2500
Y2 0.7500 0.7500 0.7500
Ga1 0.0000 0.0000 0.0000
F1 0.5000 0.5000 0.5000

Calculated values
ΔE to the lowest computed polymorph in eV/f.u.: 0.17



A relaxed structure of CeDy2Mg, computed with PBE.

a = 3.5155 Å, b = 3.5155 Å, c = 9.2767 Å
α = 90.00°, β = 90.00°, γ = 90.00°
Fractional coordinates of all 4 atoms:
Ce1 0.0000 0.0000 0.0000
Dy1 0.5000 0.5000 0.2569
Dy2 0.5000 0.5000 0.7431
Mg1 0.0000 0.0000 0.5000

Calculated values
ΔH_f (0 K) in eV/atom: 0.003
ΔE to the lowest computed polymorph in eV/f.u.: 0.00



A relaxed structure of Ba2CaPt2I2, computed with PBE.

a = 9.6826 Å, b = 9.6826 Å, c = 9.6826 Å
α = 147.76°, β = 147.76°, γ = 46.25°
Fractional coordinates of all 7 atoms:
Ba1 0.1146 0.1146 0.0000
Ba2 0.8854 0.8854 0.0000
Ca1 0.5000 0.5000 0.0000
Pt1 0.0000 0.5000 0.5000
Pt2 0.5000 0.0000 0.5000
I1 0.3179 0.3179 0.0000
I2 0.6821 0.6821 0.0000



A relaxed structure of Cd2In4Ni, computed with PBE.

a = 8.3878 Å, b = 8.3878 Å, c = 8.3878 Å
α = 145.25°, β = 145.25°, γ = 49.96°
Fractional coordinates of all 7 atoms:
Cd1 0.1409 0.1409 0.0000
Cd2 0.8591 0.8591 0.0000
In1 0.0000 0.5000 0.5000
In2 0.3322 0.3322 0.0000
In3 0.5000 0.0000 0.5000
In4 0.6678 0.6678 0.0000
Ni1 0.5000 0.5000 0.0000

Calculated values
ΔH_f (0 K) in eV/atom: 0.097



A relaxed structure of AcBeSn, computed with PBE.

a = 4.8416 Å, b = 4.8416 Å, c = 4.8416 Å
α = 60.00°, β = 60.00°, γ = 60.00°
Fractional coordinates of all 3 atoms:
Ac1 0.0000 0.0000 0.0000
Be1 0.7500 0.7500 0.7500
Sn1 0.5000 0.5000 0.5000

Calculated values
ΔH_f (0 K) in eV/atom: -0.140
ΔE to the lowest computed polymorph in eV/f.u.: 0.81



A relaxed structure of La2Dy5Y5, computed with PBE.

a = 8.0376 Å, b = 8.0376 Å, c = 11.3482 Å
α = 115.13°, β = 115.13°, γ = 36.87°
Fractional coordinates of all 12 atoms:
La1 0.0830 0.0830 0.2484
La2 0.9170 0.9170 0.7516
Dy1 0.0000 0.0000 0.5000
Dy2 0.1688 0.1688 0.0007
Dy3 0.2477 0.2477 0.7497
Dy4 0.7523 0.7523 0.2503
Dy5 0.8312 0.8312 0.9993
Y1 0.3339 0.3339 0.4994
Y2 0.4144 0.4144 0.2495
Y3 0.5000 0.5000 0.0000
Y4 0.5856 0.5856 0.7505
Y5 0.6661 0.6661 0.5006

Calculated values
ΔH_f (0 K) in eV/atom: 0.029



A relaxed structure of Li5Pr2Pd4, computed with PBE.

a = 9.4581 Å, b = 8.6597 Å, c = 5.3956 Å
α = 80.98°, β = 64.73°, γ = 34.29°
Fractional coordinates of all 11 atoms:
Li1 0.0000 0.0000 0.0000
Li2 0.0000 0.0000 0.5000
Li3 0.2500 0.2500 0.2500
Li4 0.5000 0.5000 0.0000
Li5 0.7500 0.7500 0.7500
Pr1 0.3561 0.3561 0.6439
Pr2 0.6439 0.6439 0.3561
Pd1 0.0269 0.7133 0.2867
Pd2 0.2867 0.9731 0.0269
Pd3 0.7133 0.0269 0.9731
Pd4 0.9731 0.2867 0.7133

Calculated values
ΔH_f (0 K) in eV/atom: -0.423



A relaxed structure of Nd5Co2Sn, computed with PBE.

a = 8.8589 Å, b = 8.8589 Å, c = 8.8589 Å
α = 127.28°, β = 127.28°, γ = 77.80°
Fractional coordinates of all 16 atoms:
Nd1 0.0000 0.0000 0.0000
Nd2 0.0267 0.5267 0.8198
Nd3 0.2068 0.0267 0.5000
Nd4 0.2932 0.7932 0.8198
Nd5 0.4733 0.2932 0.5000
Nd6 0.5000 0.5000 0.0000
Nd7 0.5267 0.7068 0.5000
Nd8 0.7068 0.2068 0.1802
Nd9 0.7932 0.9733 0.5000
Nd10 0.9733 0.4733 0.1802
Co1 0.1363 0.3637 0.5000
Co2 0.3637 0.8637 0.2274
Co3 0.6363 0.1363 0.7726
Co4 0.8637 0.6363 0.5000
Sn1 0.2500 0.2500 0.0000
Sn2 0.7500 0.7500 0.0000

Calculated values
ΔH_f (0 K) in eV/atom: -0.255



A relaxed structure of BaSiS2, computed with PBE.

a = 8.0120 Å, b = 8.0120 Å, c = 8.0120 Å
α = 135.25°, β = 135.25°, γ = 65.14°
Fractional coordinates of all 8 atoms:
Ba1 0.0000 0.0000 0.0000
Ba2 0.7500 0.2500 0.5000
Si1 0.2500 0.7500 0.5000
Si2 0.5000 0.5000 0.0000
S1 0.2163 0.6250 0.0913
S2 0.3750 0.4663 0.5913
S3 0.5337 0.1250 0.9087
S4 0.8750 0.7837 0.4087



A relaxed structure of Pu2Hg3Pb, computed with PBE.

a = 10.3815 Å, b = 10.3815 Å, c = 6.6029 Å
α = 90.00°, β = 90.00°, γ = 120.00°
Fractional coordinates of all 24 atoms:
Pu1 0.0000 0.0000 0.2500
Pu2 0.0000 0.0000 0.7500
Pu3 0.9997 0.4998 0.2500
Pu4 0.0003 0.5002 0.7500
Pu5 0.5002 0.0003 0.2500
Pu6 0.4998 0.9997 0.7500
Pu7 0.5002 0.4998 0.2500
Pu8 0.4998 0.5002 0.7500
Hg1 0.1636 0.3273 0.9997
Hg2 0.1636 0.3273 0.5003
Hg3 0.1636 0.8364 0.9997
Hg4 0.1636 0.8364 0.5003
Hg5 0.3273 0.1636 0.0003
Hg6 0.3273 0.1636 0.4997
Hg7 0.6727 0.8364 0.9997
Hg8 0.6727 0.8364 0.5003
Hg9 0.8364 0.1636 0.0003
Hg10 0.8364 0.1636 0.4997
Hg11 0.8364 0.6727 0.0003
Hg12 0.8364 0.6727 0.4997
Pb1 0.3333 0.6667 0.0008
Pb2 0.3333 0.6667 0.4992
Pb3 0.6667 0.3333 0.5008
Pb4 0.6667 0.3333 0.9992

Calculated values
ΔH_f (0 K) in eV/atom: -0.121
ΔE to the lowest computed polymorph in eV/f.u.: 0.00



A relaxed structure of Sc2AsPb, computed with PBE.

a = 5.1680 Å, b = 5.1680 Å, c = 3.5127 Å
α = 99.28°, β = 99.28°, γ = 97.84°
Fractional coordinates of all 4 atoms:
Sc1 0.0000 0.5000 0.0000
Sc2 0.5000 0.0000 0.0000
As1 0.0000 0.0000 0.5000
Pb1 0.5000 0.5000 0.5000

Calculated values
ΔH_f (0 K) in eV/atom: -0.561
ΔE to the lowest computed polymorph in eV/f.u.: 1.26



A relaxed structure of Cu2TeCl, computed with PBE.

a = 7.2901 Å, b = 3.8709 Å, c = 14.2368 Å
α = 90.00°, β = 118.67°, γ = 90.00°
Fractional coordinates of all 16 atoms:
Cu1 0.1648 0.0188 0.4916
Cu2 0.1648 0.9812 0.9916
Cu3 0.2858 0.4830 0.8447
Cu4 0.2858 0.5170 0.3447
Cu5 0.7142 0.4830 0.6553
Cu6 0.7142 0.5170 0.1553
Cu7 0.8352 0.0188 0.0084
Cu8 0.8352 0.9812 0.5084
Te1 0.0388 0.4845 0.6332
Te2 0.0388 0.5155 0.1332
Te3 0.9612 0.4845 0.8668
Te4 0.9612 0.5155 0.3668
Cl1 0.4960 0.0130 0.3748
Cl2 0.4960 0.9870 0.8748
Cl3 0.5040 0.0130 0.1252
Cl4 0.5040 0.9870 0.6252

Calculated values
ΔE to the lowest computed polymorph in eV/f.u.: 0.08



Number 1: electronic total energy -21.37 eV per cell. Number 2: electronic total energy -51.19 eV per cell. Number 3: electronic total energy -9.10 eV per cell. Number 4: electronic total energy -50.39 eV per cell. Number 5: electronic total energy -31.43 eV per cell. Number 6: electronic total energy -36.46 eV per cell. Number 7: electronic total energy -83.61 eV per cell. Number 8: electronic total energy -18.52 eV per cell. Number 9: electronic total energy -22.38 eV per cell. Number 10: electronic total energy -16.72 eV per cell. Number 11: electronic total energy -28.73 eV per cell. Number 12: electronic total energy -17.88 eV per cell. Number 13: electronic total energy -12.26 eV per cell. Number 14: electronic total energy -64.83 eV per cell. Number 15: electronic total energy -44.56 eV per cell. Number 16: electronic total energy -88.19 eV per cell. Number 17: electronic total energy -37.33 eV per cell. Number 18: electronic total energy -136.02 eV per cell. Number 19: electronic total energy -23.27 eV per cell. Number 20: electronic total energy -56.02 eV per cell.